Entry 1:
Material: BeIrOs2
Method: DFT, PBE
State: relaxed

extended XYZ file:
```
4
Lattice="-3.601 -1.154 -1.190 1.472 -1.422 -3.073 0.468 -3.233 1.720" Properties=species:S:1:pos:R:3 pbc="T T T"
Be -1.065 -1.288 -2.132
Ir -1.567 -2.194 0.265
Os 0.000 0.000 0.000
Os 0.970 -2.328 -0.677
```

Summary:
raw total energy = -8.4635 eV per atom
DFT formation energy = 28.77 kJ/mol of atoms

=====

Entry 2:
Material: BeIrOs2
Method: DFT, PBE
State: relaxed

extended XYZ file:
```
4
Lattice="-1.544 -0.587 -2.197 -1.248 -3.177 1.726 -3.882 2.626 2.027" Properties=species:S:1:pos:R:3 pbc="T T T"
Be -2.366 -1.225 0.271
Ir -4.307 0.088 1.285
Os -0.053 0.036 0.028
Os -1.888 1.277 0.986
```

Summary:
raw total energy = -8.6015 eV per atom
DFT formation energy = 15.45 kJ/mol of atoms

=====

Entry 3:
Material: BeIrOs2
Method: DFT, PBE
State: relaxed

extended XYZ file:
```
4
Lattice="-0.187 -2.462 3.009 -0.010 -2.112 -1.728 4.949 -1.225 -0.695" Properties=species:S:1:pos:R:3 pbc="T T T"
Be 2.381 -2.061 -1.538
Ir 3.535 -3.335 0.008
Os 0.048 -1.982 -1.618
Os 1.247 -2.201 0.794
```

Summary:
raw total energy = -8.7781 eV per atom
DFT formation energy = -1.59 kJ/mol of atoms